# 1
Crystalline NaTlIn at its relaxed geometry, computed with PBE.

- E_form (eV per atom) = -0.0240
- energy relative to the lowest polymorph listed for this composition (kcal/mol of atoms) = 1.92
- calculated total energy (eV per atom) = -2.17
- calculated volume (Å³/atom) = 31.0
- symmetry = F-43m (216)

Cell: 5.0832 5.0832 5.0832 Å, 60.00 60.00 60.00°
Positions (direct):
In 0.0000 0.0000 0.0000
Na 0.5000 0.5000 0.5000
Tl 0.2500 0.2500 0.2500

# 2
Crystalline Cr2RuPt9 at its relaxed geometry, computed with PBE.

- E_form (eV per atom) = -0.1544
- calculated total energy (eV per atom) = -7.06
- calculated volume (Å³/atom) = 15.1
- symmetry = P4/mmm (123)

Cell: 3.9206 3.9206 11.8106 Å, 90.00 90.00 90.00°
Last column: magnetic moment on the atom in μB.
Positions (direct):
Pt 0.0000 0.5000 0.1685  -0.12
Pt 0.5000 0.0000 0.5000  -0.06
Pt 0.5000 0.5000 0.6659  -0.06
Pt 0.0000 0.5000 0.8315  -0.12
Pt 0.5000 0.5000 0.0000  -0.18
Pt 0.5000 0.0000 0.8315  -0.12
Pt 0.5000 0.0000 0.1685  -0.12
Pt 0.0000 0.5000 0.5000  -0.06
Pt 0.5000 0.5000 0.3341  -0.06
Ru 0.0000 0.0000 0.0000  -0.92
Cr 0.0000 0.0000 0.3345  2.81
Cr 0.0000 0.0000 0.6655  2.81

# 3
Crystalline CaFeP2 at its relaxed geometry, computed with PBE.

- E_form (eV per atom) = -0.3542
- energy relative to the lowest polymorph listed for this composition (kcal/mol of atoms) = 6.60
- calculated total energy (eV per atom) = -5.68
- calculated volume (Å³/atom) = 16.8
- symmetry = Imm2 (44)

Cell: 6.5853 6.5853 6.5853 Å, 150.50 151.38 41.57°
Last column: magnetic moment on the atom in μB.
Positions (direct):
P 0.0857 0.0857 0.0000  -0.03
P 0.7596 0.2596 0.5000  -0.04
Ca 0.4529 0.4529 0.0000  -0.01
Fe 0.2018 0.7018 0.5000  0.73

# 4
Crystalline CeAlCu4 at its relaxed geometry, computed with PBE.

- E_form (eV per atom) = -0.2504
- calculated total energy (eV per atom) = -4.59
- calculated volume (Å³/atom) = 15.9
- symmetry = Cmmm (65)

Cell: 5.1170 5.1170 4.1745 Å, 90.00 90.00 119.01°
Last column: magnetic moment on the atom in μB.
Positions (direct):
Cu 0.1672 0.8328 0.0000  0.00
Cu 0.0000 0.5000 0.5000  0.01
Cu 0.8328 0.1672 0.0000  0.00
Cu 0.5000 0.0000 0.5000  0.01
Al 0.0000 0.0000 0.5000  0.00
Ce 0.5000 0.5000 0.0000  0.64

# 5
Crystalline RuS3I at its relaxed geometry, computed with PBE.

- E_form (uncorrected) (eV per atom) = 0.428
- calculated total energy (eV per atom) = -4.21
- calculated volume (Å³/atom) = 20.3
- symmetry = Pm-3m (221)

Cell: 4.6673 4.6673 4.6673 Å, 90.00 90.00 90.00°
Positions (direct):
Ru 0.0000 0.0000 0.0000
S 0.0000 0.0000 0.5000
S 0.5000 0.0000 0.0000
S 0.0000 0.5000 0.0000
I 0.5000 0.5000 0.5000

# 6
Crystalline KTcSe2 at its relaxed geometry, computed with PBE.

- energy relative to the lowest polymorph listed for this composition (kcal/mol of atoms) = 5.84
- E_form (uncorrected) (eV per atom) = -0.239
- calculated total energy (eV per atom) = -4.85
- calculated volume (Å³/atom) = 20.5
- symmetry = P4/mmm (123)

Cell: 3.2345 3.2345 7.8455 Å, 90.00 90.00 90.00°
Last column: magnetic moment on the atom in μB.
Positions (direct):
Se 0.0000 0.0000 0.4394  0.01
Se 0.0000 0.0000 0.0606  0.01
Tc 0.5000 0.5000 0.2500  0.65
K 0.5000 0.5000 0.7500  0.01